VASP calculation (PBE-GGA) on a geometry-optimized CsNa2AgPd structure.

Unit cell a=5.5652 b=5.5652 c=5.4484 alpha=90.00 beta=90.00 gamma=90.00
Closest atoms and distances in Å follow each position.
Space group P4/mmm (No. 123)
Inequivalent atoms, fractional coordinates:
Cs: 0.0000 0.0000 0.0000 [1 per cell]  8 Na 3.89, 4 Ag 3.94
Na: 0.0000 0.5000 0.5000 [2 per cell]  2 Pd 2.78
Ag: 0.5000 0.5000 0.0000 [1 per cell]  2 Pd 2.72
Pd: 0.5000 0.5000 0.5000 [1 per cell]  2 Ag 2.72, 4 Na 2.78

The calculation puts the energy of formation at 43 meV per atom. Its density of states at the Fermi level is 0.25 states/eV per atom. The polymorph energy (0 for the lowest one) is 0.000 eV per formula unit. As for the total magnetization: 0.0 Bohr magnetons per cell. Its crystal system is tetragonal.